No. 1
20
Lattice="9.692 0.000 0.000 0.000 9.692 0.000 0.000 0.000 4.064" Properties=species:S:1:pos:R:3 comment="Li5Cd2InAg2, relaxed, DFT PBE" formation_energy_ev_per_fu=-1.609 dft_energy_ev_per_atom=-2.145 magnetic_moment_mub_per_atom=0.000 volume_a3_per_atom=19.090 sg="No. 127" pbc="T T T"
Li 0.000 4.846 0.000
Li 0.786 1.928 0.000
Li 1.928 8.906 0.000
Li 2.918 4.060 0.000
Li 4.060 6.775 0.000
Li 4.846 0.000 0.000
Li 5.633 2.918 0.000
Li 6.775 5.633 0.000
Li 7.764 0.786 0.000
Li 8.906 7.764 0.000
Cd 1.678 6.524 2.032
Cd 3.168 1.678 2.032
Cd 6.524 8.014 2.032
Cd 8.014 3.168 2.032
In 0.000 0.000 2.032
In 4.846 4.846 2.032
Ag 1.177 3.669 2.032
Ag 3.669 8.515 2.032
Ag 6.024 1.177 2.032
Ag 8.515 6.024 2.032

=====

No. 2
16
Lattice="6.594 0.000 0.000 0.000 6.594 0.000 0.000 0.000 6.594" Properties=species:S:1:pos:R:3 comment="ErScNiRh, relaxed, DFT PBE" formation_energy_ev_per_fu=-2.775 dft_energy_ev_per_atom=-6.701 magnetic_moment_mub_per_atom=0.000 volume_a3_per_atom=17.923 sg="No. 216" pbc="T T T"
Er 0.000 0.000 0.000
Er 0.000 3.297 3.297
Er 3.297 0.000 3.297
Er 3.297 3.297 0.000
Sc 0.000 0.000 3.297
Sc 0.000 3.297 0.000
Sc 3.297 0.000 0.000
Sc 3.297 3.297 3.297
Ni 1.649 1.649 4.946
Ni 1.649 4.946 1.649
Ni 4.946 1.649 1.649
Ni 4.946 4.946 4.946
Rh 1.649 1.649 1.649
Rh 1.649 4.946 4.946
Rh 4.946 1.649 4.946
Rh 4.946 4.946 1.649

=====

No. 3
8
Lattice="4.582 0.000 0.000 0.000 4.582 0.000 0.000 0.000 9.232" Properties=species:S:1:pos:R:3 comment="KBaRh2, relaxed, DFT PBE" formation_energy_ev_per_fu=2.314 de_polymorph_mev_per_atom=468 dft_energy_ev_per_atom=-3.852 magnetic_moment_mub_per_atom=0.111 volume_a3_per_atom=24.227 sg="No. 139" pbc="T T T"
K 0.000 0.000 0.000
K 2.291 2.291 4.616
Ba 0.000 0.000 4.616
Ba 2.291 2.291 0.000
Rh 0.000 2.291 2.308
Rh 0.000 2.291 6.924
Rh 2.291 0.000 2.308
Rh 2.291 0.000 6.924

=====

No. 4
66
Lattice="6.516 0.000 0.000 0.000 17.551 0.000 -3.464 0.000 8.831" Properties=species:S:1:pos:R:3 comment="Ca2Al4Si6O21, relaxed, DFT PBE" dft_energy_ev_per_atom=-7.451 formation_energy_uncorrected_ev_per_atom=-2.735 magnetic_moment_mub_per_atom=0.062 volume_a3_per_atom=15.303 sg="No. 7" pbc="T T T"
Ca 0.000 1.891 0.000
Ca -1.732 15.659 4.416
Ca 1.915 6.632 5.650
Ca 3.647 10.919 1.234
Al -1.666 1.634 6.040
Al 0.066 15.917 1.624
Al -0.886 6.074 7.019
Al 0.846 11.477 2.603
Al 2.726 7.036 1.814
Al 0.994 10.515 6.230
Al 4.906 2.911 2.605
Al 3.174 14.640 7.020
Si -3.286 6.656 8.607
Si -1.554 10.895 4.191
Si -0.006 0.606 3.671
Si -1.738 16.945 8.087
Si -0.042 4.146 4.831
Si 1.691 13.405 0.415
Si 0.818 8.462 8.414
Si 2.550 9.089 3.998
Si 2.398 2.476 4.712
Si 4.130 15.075 0.296
Si 4.251 4.787 0.461
Si 2.519 12.763 4.877
O -2.598 6.482 7.093
O -0.866 11.069 2.677
O -0.564 1.461 2.383
O -2.296 16.090 6.799
O -1.198 0.427 4.807
O 0.535 17.124 0.392
O -0.547 4.099 3.308
O -2.279 13.452 7.724
O -0.753 3.068 5.787
O 0.979 14.483 1.371
O -1.459 0.947 7.658
O 0.273 16.603 3.242
O 1.255 6.660 0.948
O -0.477 10.891 5.364
O -0.208 5.666 5.444
O 1.525 11.885 1.028
O 1.757 3.498 0.595
O 0.024 14.053 5.011
O -0.378 4.781 8.126
O 1.354 12.770 3.710
O 1.306 1.312 4.325
O -0.427 16.239 8.740
O 0.198 7.435 7.318
O 1.930 10.116 2.902
O 1.626 3.940 4.914
O 3.358 13.610 0.498
O 2.458 7.516 3.515
O 0.726 10.035 7.931
O 3.505 8.466 1.021
O 1.773 9.085 5.437
O 3.809 5.674 1.731
O 2.077 11.877 6.146
O 3.492 2.585 3.541
O 1.759 14.966 7.957
O 4.705 3.260 0.869
O 2.973 14.291 5.284
O 2.143 5.421 8.572
O 3.876 12.129 4.156
O 3.109 2.043 6.135
O 4.841 15.507 1.719
O 2.403 8.076 8.583
O 4.135 9.475 4.168

=====

No. 5
8
Lattice="3.606 0.000 0.000 0.000 4.894 0.000 0.000 0.000 9.168" Properties=species:S:1:pos:R:3 comment="Li2TaSb, relaxed, DFT PBE" dft_energy_ev_per_atom=-4.813 formation_energy_uncorrected_ev_per_atom=0.138 magnetic_moment_mub_per_atom=0.000 volume_a3_per_atom=20.226 sg="No. 35" pbc="T T T"
Li 0.000 0.000 0.000
Li 0.000 2.447 2.465
Li 1.803 0.000 2.465
Li 1.803 2.447 0.000
Ta 0.000 2.447 6.926
Ta 1.803 0.000 6.926
Sb 0.000 0.000 4.748
Sb 1.803 2.447 4.748

=====

No. 6
9
Lattice="3.886 2.244 2.613 -3.886 2.244 2.613 0.000 -4.487 2.613" Properties=species:S:1:pos:R:3 comment="Li6Al2Si, relaxed, DFT PBE" dft_energy_ev_per_atom=-2.881 formation_energy_uncorrected_ev_per_atom=-0.171 magnetic_moment_mub_per_atom=0.000 volume_a3_per_atom=15.187 sg="No. 166" pbc="T T T"
Li -1.302 -2.232 2.613
Li -2.584 -0.011 2.613
Li 1.302 -2.232 2.613
Li -1.282 2.244 2.613
Li 2.584 -0.011 2.613
Li 1.282 2.244 2.613
Al 0.000 0.000 1.319
Al 0.000 0.000 6.519
Si 0.000 0.000 3.919

=====

No. 7
7
Lattice="2.551 1.473 11.082 -2.551 1.473 11.082 0.000 -2.946 11.082" Properties=species:S:1:pos:R:3 comment="AcDy4Tl2, relaxed, DFT PBE" formation_energy_ev_per_fu=0.707 dft_energy_ev_per_atom=-3.792 magnetic_moment_mub_per_atom=0.106 volume_a3_per_atom=35.694 sg="No. 166" pbc="T T T"
Ac 0.000 0.000 0.000
Dy 0.000 0.000 6.668
Dy 0.000 0.000 13.298
Dy 0.000 0.000 19.949
Dy 0.000 0.000 26.579
Tl 0.000 0.000 3.421
Tl 0.000 0.000 29.826

=====

No. 8
6
Lattice="3.749 0.000 0.000 0.000 3.749 0.000 0.000 0.000 13.153" Properties=species:S:1:pos:R:3 comment="CsGaAu, relaxed, DFT PBE" formation_energy_ev_per_fu=-0.393 de_polymorph_mev_per_atom=181 dft_energy_ev_per_atom=-2.517 magnetic_moment_mub_per_atom=0.000 volume_a3_per_atom=30.813 sg="No. 107" pbc="T T T"
Cs 0.000 0.000 0.000
Cs 1.875 1.875 6.576
Ga 0.000 0.000 3.622
Ga 1.875 1.875 10.198
Au 0.000 0.000 9.499
Au 1.875 1.875 2.922